GaCuSn | PBE | optimized geometry

Computed properties:
* formation enthalpy at 0 K: 0.00 eV/atom

Cell: 5.3227 5.3260 5.3272 Å, 120.92 105.15 59.03°
Fractional positions:
1 Ga 0.6910 0.9486 0.4805
2 Ga 0.0278 0.4479 0.8166
3 Cu 0.1815 0.3745 0.3278
4 Cu 0.1800 0.8746 0.3262
5 Sn 0.3852 0.7680 0.8167
6 Sn 0.6910 0.2683 0.1226

GaCu2Sn4 | PBE | optimized geometry

Computed properties:
* formation enthalpy at 0 K: 0.40 eV/atom

Cell: 5.2777 5.2777 7.5670 Å, 69.59 69.59 90.00°
Fractional positions:
1 Cu 0.5907 0.5907 0.8187
2 Cu 0.4093 0.4093 0.1813
3 Sn 0.7822 0.7822 0.4356
4 Sn 0.2178 0.2178 0.5644
5 Sn 0.0000 0.5000 0.0000
6 Sn 0.5000 0.0000 0.0000
7 Ga 0.0000 0.0000 0.0000

Ga2Cu2Sn | PBE | optimized geometry

Computed properties:
* distance to the lowest polymorph of the same formula: 0.000 eV/atom
* formation enthalpy at 0 K: 0.01 eV/atom

Cell: 3.7892 3.7892 6.5387 Å, 73.16 73.16 90.00°
Fractional positions:
1 Cu 0.3961 0.3961 0.2078
2 Cu 0.6039 0.6039 0.7922
3 Sn 0.0000 0.0000 0.0000
4 Ga 0.7500 0.2500 0.5000
5 Ga 0.2500 0.7500 0.5000

GaCuSn | PBE | optimized geometry

Computed properties:
* formation enthalpy at 0 K: 0.02 eV/atom

Cell: 6.0186 4.9496 4.0107 Å, 89.99 90.02 101.93°
Fractional positions:
1 Ga 0.4800 0.3339 0.9305
2 Ga 0.2871 0.0023 0.4304
3 Cu 0.5099 0.8371 0.9297
4 Cu 0.2770 0.5099 0.4299
5 Sn 0.8100 0.6857 0.4304
6 Sn 0.9474 0.2210 0.9306